Here is an optimized crystal structure of WI2O from Alexandria. Energies are from PBE+U.

The structure belongs to space group I-42d (No. 122); the cell edges are 7.410, 7.410 and 8.167 Å and the angles 90.00°, 90.00° and 90.00°. The inequivalent atoms are W at (0.000, 0.000, 0.000), I at (0.245, 0.250, 0.625) and O at (0.000, 0.000, 0.500).

The size of the total moment is 0.500 μB/atom. For the density, the calculation gives 6.72 g cm⁻³. For the excess energy over the best structure of this formula in the dataset, the calculation gives 0 meV/atom.